1.
A plane-wave DFT calculation with PBE was carried out for Pm4Pu2Bi3N2 after structural relaxation.

```
11
Lattice="-2.426 2.426 13.011 2.426 -2.426 13.011 2.426 2.426 -13.011" Properties=species:S:1:pos:R:3 pbc="T T T"
Pm 2.426 0.000 2.232
Pm 2.426 0.000 10.778
Pm 0.000 2.426 2.232
Pm 0.000 2.426 10.778
Pu 0.000 0.000 4.958
Pu 0.000 0.000 21.063
Bi 0.000 0.000 8.307
Bi 0.000 0.000 13.011
Bi 0.000 0.000 17.715
N 0.000 0.000 2.774
N 0.000 0.000 23.247
```

Values from the calculation:
DOS at the Fermi energy in states/eV per cell: 23.3

2.
A plane-wave DFT calculation with PBE was carried out for Pm2Pu4Bi3N2 after structural relaxation.

```
11
Lattice="-2.335 2.335 13.432 2.335 -2.335 13.432 2.335 2.335 -13.432" Properties=species:S:1:pos:R:3 pbc="T T T"
Pm 0.000 0.000 5.214
Pm 0.000 0.000 21.650
Pu 2.335 0.000 2.313
Pu 2.335 0.000 11.119
Pu 0.000 2.335 2.313
Pu 0.000 2.335 11.119
Bi 0.000 0.000 8.579
Bi 0.000 0.000 13.432
Bi 0.000 0.000 18.284
N 0.000 0.000 2.832
N 0.000 0.000 24.032
```

Values from the calculation:
DOS at the Fermi energy in states/eV per cell: 24.2

3.
A plane-wave DFT calculation with PBE was carried out for Pm4Bi2SN2 after structural relaxation.

```
9
Lattice="7.486 -2.096 0.000 7.486 2.096 0.000 -2.575 0.000 7.560" Properties=species:S:1:pos:R:3 pbc="T T T"
Pm -0.266 0.000 2.166
Pm 3.419 0.000 2.736
Pm 8.978 0.000 4.824
Pm 12.664 0.000 5.394
Bi 3.300 0.000 7.328
Bi 9.097 0.000 0.232
S 6.199 0.000 3.780
N 1.340 0.000 3.711
N 11.057 0.000 3.849
```

Values from the calculation:
DOS at the Fermi energy in states/eV per cell: 1.9

4.
A plane-wave DFT calculation with PBE was carried out for Pm4BiS2N after structural relaxation.

```
8
Lattice="-3.643 3.643 4.119 3.643 -3.643 4.119 3.643 3.643 -4.119" Properties=species:S:1:pos:R:3 pbc="T T T"
Pm 2.293 -2.293 2.797
Pm 1.350 1.350 1.322
Pm -2.293 2.293 2.797
Pm 2.293 2.293 5.441
Bi 0.000 0.000 4.119
S 3.643 0.000 2.059
S 0.000 3.643 2.059
N 0.000 0.000 0.000
```

Values from the calculation:
DOS at the Fermi energy in states/eV per cell: 6.1

5.
A plane-wave DFT calculation with PBE was carried out for Pm4BiSbN after structural relaxation.

```
14
Lattice="3.415 -8.312 0.000 3.415 8.312 0.000 0.000 0.000 6.830" Properties=species:S:1:pos:R:3 pbc="T T T"
Pm 1.707 4.156 0.000
Pm 1.707 4.156 3.415
Pm 3.415 6.879 5.122
Pm 3.415 1.495 5.122
Pm 1.707 -4.156 0.000
Pm 1.707 -4.156 3.415
Pm 3.415 -1.495 1.707
Pm 3.415 -6.879 1.707
Bi 3.415 1.753 1.707
Bi 3.415 -1.753 5.122
Sb 3.415 6.506 1.707
Sb 3.415 -6.506 5.122
N 3.415 4.143 5.122
N 3.415 -4.143 1.707
```

Values from the calculation:
DOS at the Fermi energy in states/eV per cell: 16.5

6.
A plane-wave DFT calculation with PBE was carried out for Pm3BiSbN after structural relaxation.

```
12
Lattice="9.419 0.000 0.000 0.000 4.318 0.000 -1.209 0.000 9.506" Properties=species:S:1:pos:R:3 pbc="T T T"
Pm 0.586 1.080 3.403
Pm 2.131 1.080 9.488
Pm 2.812 3.239 6.424
Pm 5.399 1.080 3.083
Pm 6.079 3.239 0.018
Pm 7.624 3.239 6.104
Bi 2.871 3.239 2.849
Bi 5.339 1.080 6.657
Sb 0.456 1.080 6.505
Sb 7.755 3.239 3.001
N 2.787 3.239 8.644
N 5.423 1.080 0.862
```

Values from the calculation:
DOS at the Fermi energy in states/eV per cell: 1.3

ΔE_f (raw) across the listed records, respectively: -0.88, -0.83, -1.29, -1.36, -0.98, -1.08 eV/atom.
DFT total energy across the listed records, respectively: -85.64, -104.23, -59.13, -50.37, -84.43, -74.14 eV for the cell shown.